(1)
# PmNi4B

A relaxed structure of PmNi4B (PBE, Alexandria via LeMat-Bulk).

Structure (POSCAR):
```
PmNi4B
1.0
-0.642 1.879 2.808
1.339 -5.084 3.709
6.700 1.937 0.235
B Ni Pm
2 8 2
Cartesian
5.247 0.610 0.791 B
2.792 -3.757 3.153 B
0.000 0.000 0.000 Ni
3.350 0.968 0.118 Ni
1.414 1.198 1.627 Ni
1.133 -2.606 4.109 Ni
3.881 0.648 2.559 Ni
5.984 -2.466 5.124 Ni
6.265 1.338 2.643 Ni
3.517 -1.916 4.193 Ni
2.207 -1.534 1.531 Pm
5.833 -1.613 2.413 Pm
```

Properties
Its space group is No. 51. The formation energy comes out at -0.297 eV/atom. The calculation puts the density of states at the Fermi level at 0.551 states/eV/atom. Its raw total energy is -72.7 eV/cell. The calculation puts the total magnetic moment at 0.0 μB/f.u.

(2)
# PmNi3B2

A relaxed structure of PmNi3B2 (PBE, Alexandria via LeMat-Bulk).

Structure (POSCAR):
```
PmNi3B2
1.0
-2.234 1.006 4.020
-5.119 0.133 -2.878
1.741 -5.138 2.254
B Ni Pm
4 6 2
Cartesian
-0.539 -3.741 3.393 B
-3.956 -0.761 -2.008 B
0.578 -4.244 1.383 B
-5.073 -0.257 0.002 B
-3.601 -4.256 0.442 Ni
-2.011 0.258 2.953 Ni
-1.500 -4.532 1.679 Ni
-4.112 0.534 1.716 Ni
-1.099 -1.781 3.970 Ni
-4.512 -2.218 -0.574 Ni
-3.924 -2.577 2.599 Pm
-1.688 -1.422 0.796 Pm
```

Properties
Its space group is No. 63. The formation energy comes out at -0.275 eV/atom. The calculation puts the density of states at the Fermi level at 0.708 states/eV/atom. Its raw total energy is -74.2 eV/cell. The calculation puts the total magnetic moment at 0.0 μB/f.u.

(3)
# PmNi6B4

A relaxed structure of PmNi6B4 (PBE, Alexandria via LeMat-Bulk).

Structure (POSCAR):
```
PmNi6B4
1.0
-2.519 -2.309 -0.469
0.700 -1.934 5.763
-3.919 4.529 -1.252
Ni B Pm
6 4 1
Cartesian
-1.181 0.310 4.817 Ni
-2.714 0.298 0.430 Ni
0.128 -0.745 2.983 Ni
-3.965 1.306 2.182 Ni
-4.236 2.058 -0.057 Ni
-1.465 1.096 2.474 Ni
-2.885 -0.149 3.549 B
-1.590 -1.646 3.963 B
-2.379 2.375 1.086 B
-1.821 -1.007 2.058 B
0.000 0.000 0.000 Pm
```

Properties
Its space group is No. 187. The formation energy comes out at -0.284 eV/atom. The calculation puts the density of states at the Fermi level at 0.450 states/eV/atom. Its raw total energy is -69.3 eV/cell. The calculation puts the total magnetic moment at 0.0 μB/f.u.

(4)
# Pm3Ni4B2

A relaxed structure of Pm3Ni4B2 (PBE, Alexandria via LeMat-Bulk).

Structure (POSCAR):
```
Pm3Ni4B2
1.0
3.788 0.000 0.000
-1.894 5.154 -0.242
0.000 -2.464 7.582
Pm Ni B
3 4 2
Cartesian
0.000 3.236 2.159 Pm
0.000 0.000 0.000 Pm
1.894 -0.547 5.181 Pm
0.000 0.657 6.802 Ni
0.000 0.656 3.157 Ni
1.894 2.033 0.538 Ni
1.894 2.033 4.183 Ni
1.894 0.971 2.381 B
0.000 1.718 4.959 B
```

Properties
Its space group is No. 12. The formation energy comes out at -0.319 eV/atom. The calculation puts the density of states at the Fermi level at 0.531 states/eV/atom. Its raw total energy is -53.6 eV/cell. The calculation puts the total magnetic moment at 0.0 μB/f.u.